DFT (PBE) results for Ca2CrAs after structural relaxation.

Output
- ΔH_f (0 K): -0.039 eV per atom

a b c (Å): 10.5735 10.5735 7.8521
angles (deg): 47.68 47.68 90.00
Each line ends with the local moment (μB).
Atoms (fractional coordinates):
Cr 0.5000 0.5000 0.0000  3.50
Cr 0.2500 0.7500 0.5000  3.50
As 0.0000 0.0000 0.0000  -0.12
As 0.7500 0.2500 0.5000  -0.12
Ca 0.7781 0.1250 0.2500  -0.05
Ca 0.9719 0.6250 0.2500  -0.05
Ca 0.3750 0.2219 0.7500  -0.06
Ca 0.8750 0.0281 0.7500  -0.06


DFT (PBE) results for La5Ho3Sb8 after structural relaxation.

Output
- Formation energy from raw total energies: -27.78 kcal/mol of atoms

a b c (Å): 9.0690 9.0690 9.0552
angles (deg): 59.95 59.95 60.00
Atoms (fractional coordinates):
La 0.5000 0.0000 0.0000
La 0.5000 0.5000 0.0000
La 0.0000 0.0000 0.0000
La 0.0000 0.5000 0.0000
La 0.5000 0.5000 0.5000
Ho 0.5000 0.0000 0.5000
Ho 0.0000 0.0000 0.5000
Ho 0.0000 0.5000 0.5000
Sb 0.2500 0.2500 0.7402
Sb 0.2500 0.7598 0.7402
Sb 0.7598 0.2500 0.7402
Sb 0.7548 0.7548 0.7357
Sb 0.7500 0.7500 0.2598
Sb 0.7500 0.2402 0.2598
Sb 0.2402 0.7500 0.2598
Sb 0.2452 0.2452 0.2643


DFT (PBE) results for BaAc3Ir after structural relaxation.

Output
- Polymorph energy (0 for the lowest one): 25 meV/atom
- ΔH_f (0 K): -0.301 eV per atom

a b c (Å): 6.0324 6.0324 6.0324
angles (deg): 90.00 90.00 90.00
Atoms (fractional coordinates):
Ac 0.0000 0.5000 0.0000
Ac 0.0000 0.0000 0.5000
Ac 0.5000 0.0000 0.0000
Ir 0.0000 0.0000 0.0000
Ba 0.5000 0.5000 0.5000